Entry 1:
SrNdTh | PBE-GGA | optimized geometry

Calculated density   6.609 g/cm³
Distance to the lowest polymorph of the same formula   0 meV per atom
E_form   0.17 eV/atom

Cell lengths 3.669, 3.669, 9.040 Å; angles 101.71, 101.71, 90.00 degrees
Positions (direct):
Sr1 0.003 0.003 0.007
Nd1 0.317 0.317 0.634
Th1 0.679 0.679 0.359


Entry 2:
SrNdTh | PBE-GGA | optimized geometry

Calculated density   6.632 g/cm³
Distance to the lowest polymorph of the same formula   22 meV per atom
E_form   0.20 eV/atom

Cell lengths 3.705, 3.705, 19.659 Å; angles 84.59, 84.59, 60.00 degrees
Positions (direct):
Nd1 0.759 0.759 0.723
Nd2 0.241 0.241 0.277
Sr1 0.303 0.303 0.090
Sr2 0.697 0.697 0.910
Th1 0.858 0.858 0.425
Th2 0.142 0.142 0.575


Entry 3:
SrNdTh | PBE-GGA | optimized geometry

Calculated density   6.694 g/cm³
Distance to the lowest polymorph of the same formula   12 meV per atom
E_form   0.19 eV/atom

Cell lengths 3.741, 3.741, 9.496 Å; angles 90.00, 90.00, 120.00 degrees
Positions (direct):
Nd1 0.333 0.667 0.644
Th1 0.667 0.333 0.348
Sr1 0.000 0.000 0.008


Entry 4:
SrNdTl | PBE-GGA | optimized geometry

Calculated density   6.572 g/cm³
Distance to the lowest polymorph of the same formula   60 meV per atom
E_form   -0.20 eV/atom

Cell lengths 3.960, 3.960, 7.568 Å; angles 105.17, 105.17, 90.00 degrees
Positions (direct):
Sr1 0.020 0.020 0.040
Nd1 0.302 0.302 0.604
Tl1 0.678 0.678 0.356


Entry 5:
SrNdTl | PBE-GGA | optimized geometry

Calculated density   6.789 g/cm³
Distance to the lowest polymorph of the same formula   111 meV per atom
E_form   -0.15 eV/atom

Cell lengths 4.038, 5.524, 5.524 Å; angles 120.00, 90.00, 90.00 degrees
Positions (direct):
Sr1 0.356 0.333 0.667
Nd1 0.902 0.000 0.000
Tl1 0.742 0.667 0.333


Entry 6:
SrNdTl | PBE-GGA | optimized geometry

Calculated density   6.112 g/cm³
Distance to the lowest polymorph of the same formula   162 meV per atom
E_form   -0.10 eV/atom

Cell lengths 5.514, 5.514, 5.514 Å; angles 60.00, 60.00, 60.00 degrees
Positions (direct):
Sr1 0.500 0.500 0.500
Nd1 0.000 0.000 0.000
Tl1 0.250 0.250 0.250


Entry 7:
SrNd5Tl6 | PBE-GGA | optimized geometry

Calculated density   9.242 g/cm³
E_form   -0.38 eV/atom

Cell lengths 5.560, 9.631, 9.656 Å; angles 60.09, 73.24, 54.67 degrees
Positions (direct):
Nd1 0.500 0.839 0.322
Nd2 0.500 0.500 0.000
Nd3 0.000 0.670 0.661
Nd4 0.500 0.161 0.678
Nd5 0.000 0.330 0.339
Tl1 0.240 0.260 0.000
Tl2 0.745 0.424 0.662
Tl3 0.745 0.086 0.338
Tl4 0.760 0.740 0.000
Tl5 0.255 0.914 0.662
Tl6 0.255 0.576 0.338
Sr1 0.000 0.000 0.000


Entry 8:
SrNdTl4 | PBE-GGA | optimized geometry

Calculated density   9.465 g/cm³
E_form   -0.17 eV/atom

Cell lengths 6.386, 6.386, 6.386 Å; angles 60.00, 60.00, 60.00 degrees
Positions (direct):
Tl1 0.625 0.124 0.625
Tl2 0.124 0.625 0.625
Tl3 0.625 0.625 0.124
Tl4 0.625 0.625 0.625
Sr1 0.250 0.250 0.250
Nd1 0.000 0.000 0.000


Asked for Fermi-level density of states across the records above, the calculation gives 3.78 9.81 5.54 3.32 2.00 2.70 10.80 5.98 states/eV/cell in order.